(1)
VASP calculation (PBE) on crystalline MgCoRe2 at its relaxed geometry.

The structure in CIF format:
```
data_MgCoRe2
_chemical_formula_sum 'Mg2 Co2 Re4'
_space_group_name_H-M_alt 'P 1'
_space_group_IT_number 1
_cell_length_a 2.725
_cell_length_b 4.399
_cell_length_c 9.945
_cell_angle_alpha 90.00
_cell_angle_beta 90.00
_cell_angle_gamma 90.00
loop_
_space_group_symop_operation_xyz
'x,y,z'
loop_
_atom_site_label
_atom_site_type_symbol
_atom_site_fract_x
_atom_site_fract_y
_atom_site_fract_z
Mg1 Mg 0.000 0.000 0.000
Mg2 Mg 0.500 0.500 0.500
Co1 Co 0.000 0.000 0.500
Co2 Co 0.500 0.500 0.000
Re1 Re 0.000 0.500 0.211
Re2 Re 0.000 0.500 0.789
Re3 Re 0.500 0.000 0.289
Re4 Re 0.500 0.000 0.711
```

---

(2)
VASP calculation (PBE) on crystalline MgCo2Re at its relaxed geometry.

The structure in CIF format:
```
data_MgCo2Re
_chemical_formula_sum 'Mg1 Co2 Re1'
_space_group_name_H-M_alt 'P 1'
_space_group_IT_number 1
_cell_length_a 2.732
_cell_length_b 2.732
_cell_length_c 7.055
_cell_angle_alpha 90.00
_cell_angle_beta 90.00
_cell_angle_gamma 90.00
loop_
_space_group_symop_operation_xyz
'x,y,z'
loop_
_atom_site_label
_atom_site_type_symbol
_atom_site_fract_x
_atom_site_fract_y
_atom_site_fract_z
Mg1 Mg 0.000 0.000 0.000
Co1 Co 0.500 0.500 0.266
Co2 Co 0.500 0.500 0.734
Re1 Re 0.000 0.000 0.500
```

---

For each record above, in turn, the calculated energy of formation from the pure elements values are 0.173; 0.040 eV/atom.